Entry from Alexandria via LeMat-Bulk: Cs3NiF7 at its PBEsol-relaxed geometry (SCAN).

* SG: P4/mbm
* energy relative to the elements, uncorrected: -2556 meV/atom

POSCAR file:
```
Cs3NiF7
1.0
-2.478 0.028 -5.592
7.016 -2.887 -3.123
-2.654 -7.680 1.138
Cs Ni F
6 2 14
Cartesian
-1.727 -5.858 -2.609 Cs
1.475 -8.188 -4.039 Cs
0.410 -2.351 -3.538 Cs
3.612 -4.681 -4.968 Cs
2.181 -5.283 -0.992 Cs
0.000 0.000 0.000 Cs
-1.327 -3.840 0.569 Ni
3.508 -1.443 -1.561 Ni
-1.581 -7.953 -4.636 F
2.021 -2.570 -6.205 F
-2.238 -3.297 -4.322 F
2.677 -7.226 -6.519 F
-0.135 -7.969 -1.372 F
4.123 -7.242 -3.255 F
-0.792 -3.313 -1.058 F
3.466 -2.586 -2.941 F
-1.239 0.014 -2.796 F
0.943 -5.270 -3.789 F
5.017 -5.097 -2.248 F
2.016 -2.183 -0.904 F
2.346 -8.384 -1.081 F
-0.654 -5.470 0.263 F
```